(1)
Crystalline La8Ru3Br3O at its relaxed geometry. Source: Alexandria via LeMat-Bulk, functional PBE.

abc: 8.1505 8.1527 9.2389
angles: 116.19 90.00 120.02
Sites, in units of the cell vectors:
1 La 0.7771 0.5541 0.3140
2 La 0.2592 0.0365 0.3142
3 La 0.7408 0.9635 0.6858
4 La 0.2227 0.9634 0.6859
5 La 0.7773 0.0366 0.3141
6 La 0.2229 0.4459 0.6860
7 La 0.7345 0.4691 0.7032
8 La 0.2655 0.5309 0.2968
9 O 0.0000 0.0000 0.5000
10 Br 0.5000 0.5000 0.0000
11 Br 0.0000 0.0000 0.0000
12 Br 0.0000 0.5000 0.0000
13 Ru 0.5000 0.0000 0.5000
14 Ru 0.5000 0.5000 0.5000
15 Ru 0.0000 0.5000 0.5000

## Properties
Size of the total moment = 0.0634 μB per atom
Formation energy from raw total energies = -1.03 eV per atom
DOS(E_F) = 7.7 states/eV/f.u.


(2)
Crystalline Sc2Zn5Ga at its relaxed geometry. Source: Alexandria via LeMat-Bulk, functional PBE.

abc: 3.9000 8.1644 8.9268
angles: 90.00 90.00 103.82
Sites, in units of the cell vectors:
1 Sc 0.8127 0.6255 0.7500
2 Sc 0.1873 0.3745 0.2500
3 Sc 0.0000 0.0000 0.5000
4 Sc 0.0000 0.0000 0.0000
5 Ga 0.5415 0.0830 0.2500
6 Ga 0.4585 0.9170 0.7500
7 Zn 0.7985 0.5970 0.3977
8 Zn 0.6375 0.2750 0.4709
9 Zn 0.7985 0.5970 0.1023
10 Zn 0.2015 0.4030 0.8977
11 Zn 0.2015 0.4030 0.6023
12 Zn 0.6375 0.2750 0.0291
13 Zn 0.3625 0.7250 0.9709
14 Zn 0.3625 0.7250 0.5291
15 Zn 0.6139 0.2277 0.7500
16 Zn 0.3861 0.7723 0.2500

## Properties
ΔE_f = -0.3147 eV per atom
Size of the total moment = 0.0000 μB per atom
DOS(E_F) = 4.7 states/eV/f.u.


(3)
Crystalline PmDy6Er6 at its relaxed geometry. Source: Alexandria via LeMat-Bulk, functional PBE.

abc: 6.6088 6.6090 11.3588
angles: 90.00 90.00 120.01
Each line ends with the local moment (μB).
Sites, in units of the cell vectors:
1 Dy 0.0000 0.0000 0.6521  0.23
2 Dy 0.6666 0.3334 0.5000  0.34
3 Dy 0.0000 0.0000 0.3479  0.23
4 Dy 0.6667 0.3333 0.0000  0.02
5 Dy 0.3334 0.6666 0.5000  0.34
6 Dy 0.3333 0.6667 0.0000  0.02
7 Er 0.0000 0.5000 0.2442  0.17
8 Er 0.5000 0.0000 0.2442  0.17
9 Er 0.0000 0.5000 0.7558  0.17
10 Er 0.5000 0.0000 0.7558  0.17
11 Er 0.5000 0.5000 0.7558  0.17
12 Er 0.5000 0.5000 0.2442  0.17
13 Pm 0.0000 0.0000 0.0000  0.10

## Properties
ΔE_f = 0.2773 eV per atom
Size of the total moment = 0.2450 μB per atom
DOS(E_F) = 25.2 states/eV/f.u.


(4)
Crystalline TlSnBr2Cl at its relaxed geometry. Source: Alexandria via LeMat-Bulk, functional PBE.

abc: 5.8505 5.8505 5.5082
angles: 90.00 90.00 90.00
Sites, in units of the cell vectors:
1 Br 0.0000 0.5000 0.0000
2 Br 0.5000 0.0000 0.0000
3 Sn 0.0000 0.0000 0.0000
4 Tl 0.5000 0.5000 0.5000
5 Cl 0.0000 0.0000 0.5000

## Properties
Size of the total moment = 0.0000 μB per atom
Formation energy from raw total energies = -0.82 eV per atom


(5)
Crystalline GeSbC3 at its relaxed geometry. Source: Alexandria via LeMat-Bulk, functional PBE.

abc: 4.2808 4.2808 4.2808
angles: 90.00 90.00 90.00
Sites, in units of the cell vectors:
1 C 0.5000 0.0000 0.0000
2 C 0.0000 0.5000 0.0000
3 C 0.0000 0.0000 0.5000
4 Sb 0.0000 0.0000 0.0000
5 Ge 0.5000 0.5000 0.5000

## Properties
Size of the total moment = 0.0002 μB per atom
Formation energy from raw total energies = 2.84 eV per atom
DOS(E_F) = 5.8 states/eV/f.u.


(6)
Crystalline TiTeHRh2 at its relaxed geometry. Source: Alexandria via LeMat-Bulk, functional PBE.

abc: 4.0022 4.0022 4.1983
angles: 90.00 90.00 90.00
Sites, in units of the cell vectors:
1 Ti 0.0000 0.0000 0.5000
2 H 0.0000 0.0000 0.0000
3 Rh 0.0000 0.5000 0.0000
4 Rh 0.5000 0.0000 0.0000
5 Te 0.5000 0.5000 0.5000

## Properties
DFT total energy = -6.15 eV per atom
Size of the total moment = 0.0000 μB per atom
DOS(E_F) = 3.4 states/eV/f.u.


(7)
Crystalline NaBi2N at its relaxed geometry. Source: Alexandria via LeMat-Bulk, functional PBE.

abc: 7.7377 7.7377 6.3890
angles: 52.73 52.73 90.00
Sites, in units of the cell vectors:
1 N 0.2500 0.7500 0.5000
2 N 0.5000 0.5000 0.0000
3 Na 0.7500 0.2500 0.5000
4 Na 0.0000 0.0000 0.0000
5 Bi 0.8750 0.7804 0.7500
6 Bi 0.2196 0.6250 0.2500
7 Bi 0.3750 0.4696 0.7500
8 Bi 0.5304 0.1250 0.2500

## Properties
Size of the total moment = 0.0000 μB per atom
Formation energy from raw total energies = 0.44 eV per atom
DOS(E_F) = 1.7 states/eV/f.u.


(8)
Crystalline SbTe2Ru at its relaxed geometry. Source: Alexandria via LeMat-Bulk, functional PBE.

abc: 5.1034 5.1034 3.4804
angles: 90.00 90.00 90.00
Sites, in units of the cell vectors:
1 Te 0.0000 0.0000 0.0000
2 Te 0.5000 0.5000 0.0000
3 Ru 0.5000 0.0000 0.5000
4 Sb 0.0000 0.5000 0.5000

## Properties
Size of the total moment = 0.0000 μB per atom
Formation energy from raw total energies = 0.53 eV per atom
DOS(E_F) = 2.3 states/eV/f.u.


(9)
Crystalline KGe2Pd5 at its relaxed geometry. Source: Alexandria via LeMat-Bulk, functional PBE.

abc: 3.9524 6.6006 6.6006
angles: 67.13 72.58 72.58
Sites, in units of the cell vectors:
1 Pd 0.6536 0.5385 0.1544
2 Pd 0.0000 0.5000 0.5000
3 Pd 0.6536 0.1544 0.5385
4 Pd 0.3464 0.4615 0.8456
5 Pd 0.3464 0.8456 0.4615
6 K 0.0000 0.0000 0.0000
7 Ge 0.2396 0.2604 0.2604
8 Ge 0.7604 0.7396 0.7396

## Properties
ΔE_f = -0.4082 eV per atom
Size of the total moment = 0.0000 μB per atom
DOS(E_F) = 3.6 states/eV/f.u.


(10)
Crystalline NaZn6GaAg at its relaxed geometry. Source: Alexandria via LeMat-Bulk, functional PBE.

abc: 7.1395 9.3036 7.8430
angles: 126.38 117.07 90.00
Sites, in units of the cell vectors:
1 Zn 0.9492 0.1355 0.2599
2 Zn 0.5674 0.8174 0.1348
3 Zn 0.0508 0.3757 0.7401
4 Zn 0.4326 0.1826 0.8652
5 Zn 0.0307 0.7807 0.0613
6 Zn 0.9492 0.6243 0.2599
7 Zn 0.9693 0.2193 0.9387
8 Zn 0.3106 0.1355 0.2599
9 Zn 0.6894 0.8645 0.7401
10 Zn 0.3106 0.6243 0.2599
11 Zn 0.0508 0.8645 0.7401
12 Zn 0.6894 0.3757 0.7401
13 Ga 0.5000 0.0000 0.0000
14 Ga 0.5000 0.5000 0.0000
15 Na 0.2852 0.5352 0.5704
16 Na 0.7148 0.4648 0.4296
17 Ag 0.0000 0.0000 0.5000
18 Ag 0.5000 0.0000 0.5000

## Properties
ΔE_f = 0.1258 eV per atom
Size of the total moment = 0.0000 μB per atom
DOS(E_F) = 2.4 states/eV/f.u.


(11)
Crystalline PmHo2Sn2 at its relaxed geometry. Source: Alexandria via LeMat-Bulk, functional PBE.

abc: 4.8701 6.5253 9.6405
angles: 90.00 104.63 90.00
Sites, in units of the cell vectors:
1 Sn 0.4275 0.4853 0.8549
2 Sn 0.7943 0.9556 0.5887
3 Sn 0.2057 0.4556 0.4113
4 Sn 0.5725 0.9853 0.1451
5 Ho 0.1852 0.9645 0.3703
6 Ho 0.8148 0.4645 0.6297
7 Ho 0.0059 0.2366 0.0118
8 Ho 0.9941 0.7366 0.9882
9 Pm 0.3907 0.9924 0.7815
10 Pm 0.6093 0.4924 0.2185

## Properties
ΔE_f = -0.5947 eV per atom
Size of the total moment = 0.0000 μB per atom
DOS(E_F) = 3.1 states/eV/f.u.


(12)
Crystalline In2NiP at its relaxed geometry. Source: Alexandria via LeMat-Bulk, functional PBE.

abc: 4.7639 4.7639 4.7639
angles: 60.00 60.00 60.00
Sites, in units of the cell vectors:
1 P 0.2500 0.2500 0.2500
2 Ni 0.5000 0.5000 0.5000
3 In 0.7500 0.7500 0.7500
4 In 0.0000 0.0000 0.0000

## Properties
ΔE_f = 0.4275 eV per atom
Size of the total moment = 0.0000 μB per atom
DOS(E_F) = 3.7 states/eV/f.u.